An optimized crystal structure of KHg2Sb2. Source: Alexandria via LeMat-Bulk, functional PBE.

Computed properties:
**Magnetic moment**: 0.00 μB/cell
**Distance to the lowest polymorph of the same formula**: 0.0000 eV/atom
**Raw formation energy**: -0.165 eV/atom

a b c (Å): 6.644 6.644 6.644
angles (deg): 131.13 131.13 71.61
Fractional coordinates of all 5 atoms:
K 0.000 0.000 0.000
Hg 0.250 0.750 0.500
Hg 0.750 0.250 0.500
Sb 0.366 0.366 0.000
Sb 0.634 0.634 0.000

An optimized crystal structure of Rb2TcBCl6. Source: Alexandria via LeMat-Bulk, functional PBE.

Computed properties:
**Magnetic moment**: 2.00 μB/cell
**Raw formation energy**: -0.727 eV/atom

a b c (Å): 7.109 7.109 7.109
angles (deg): 60.00 60.00 60.00
Fractional coordinates of all 10 atoms:
Rb 0.250 0.250 0.250
Rb 0.750 0.750 0.750
Tc 0.000 0.000 0.000
B 0.500 0.500 0.500
Cl 0.242 0.242 0.758
Cl 0.242 0.758 0.242
Cl 0.242 0.758 0.758
Cl 0.758 0.242 0.242
Cl 0.758 0.242 0.758
Cl 0.758 0.758 0.242

An optimized crystal structure of As2PbCl. Source: Alexandria via LeMat-Bulk, functional PBE.

Computed properties:
**Magnetic moment**: 0.00 μB/cell
**Raw formation energy**: -0.048 eV/atom

a b c (Å): 3.479 3.479 9.994
angles (deg): 90.00 90.00 117.57
Fractional coordinates of all 4 atoms:
As 0.000 0.000 0.000
As 0.500 0.500 0.169
Pb 0.500 0.500 0.687
Cl 0.000 0.000 0.475

An optimized crystal structure of Nd4TmHg5. Source: Alexandria via LeMat-Bulk, functional PBE.

Computed properties:
**Magnetic moment**: 1.94 μB/cell
**DFT formation energy**: -469 meV per atom

a b c (Å): 3.785 3.785 19.237
angles (deg): 90.00 90.00 90.00
Fractional coordinates of all 10 atoms:
Nd 0.000 0.000 0.102
Nd 0.000 0.000 0.305
Nd 0.000 0.000 0.695
Nd 0.000 0.000 0.898
Tm 0.000 0.000 0.500
Hg 0.500 0.500 0.000
Hg 0.500 0.500 0.203
Hg 0.500 0.500 0.411
Hg 0.500 0.500 0.589
Hg 0.500 0.500 0.797

An optimized crystal structure of PrHoSn2. Source: Alexandria via LeMat-Bulk, functional PBE.

Computed properties:
**Magnetic moment**: 0.00 μB/cell
**DFT formation energy**: -734 meV per atom

a b c (Å): 4.364 6.244 6.244
angles (deg): 43.18 90.00 90.00
Fractional coordinates of all 4 atoms:
Pr 0.000 0.000 0.000
Ho 0.500 0.270 0.270
Sn 0.000 0.727 0.727
Sn 0.500 0.544 0.544

An optimized crystal structure of Sc2TlBr2. Source: Alexandria via LeMat-Bulk, functional PBE.

Computed properties:
**Magnetic moment**: 0.00 μB/cell
**Raw formation energy**: -0.562 eV/atom

a b c (Å): 6.381 6.381 6.381
angles (deg): 134.66 134.66 66.06
Fractional coordinates of all 5 atoms:
Sc 0.250 0.750 0.500
Sc 0.750 0.250 0.500
Tl 0.000 0.000 0.000
Br 0.351 0.351 0.000
Br 0.649 0.649 0.000

An optimized crystal structure of BeTe2C. Source: Alexandria via LeMat-Bulk, functional PBE.

Computed properties:
**Magnetic moment**: 0.00 μB/cell
**Distance to the lowest polymorph of the same formula**: 0.2507 eV/atom
**Raw formation energy**: 1.129 eV/atom

a b c (Å): 7.075 7.075 7.075
angles (deg): 32.85 32.85 32.85
Fractional coordinates of all 4 atoms:
Be 0.000 0.000 0.000
Te 0.402 0.402 0.402
Te 0.598 0.598 0.598
C 0.500 0.500 0.500

An optimized crystal structure of BaIn6Ag. Source: Alexandria via LeMat-Bulk, functional PBE.

Computed properties:
**Magnetic moment**: 0.00 μB/cell
**DFT formation energy**: -226 meV per atom

a b c (Å): 5.041 5.041 9.039
angles (deg): 90.00 90.00 90.00
Fractional coordinates of all 8 atoms:
Ba 0.000 0.000 0.000
In 0.000 0.500 0.332
In 0.000 0.500 0.668
In 0.500 0.000 0.332
In 0.500 0.000 0.668
In 0.500 0.500 0.156
In 0.500 0.500 0.844
Ag 0.000 0.000 0.500